VASP calculation (PBE) on crystalline KBiO2 at its relaxed geometry.

a = 3.128 Å, b = 3.128 Å, c = 6.597 Å
α = 90.00°, β = 90.00°, γ = 90.00°
Atoms (fractional coordinates):
K  0.000  0.000  0.000
Bi  0.000  0.000  0.500
O  0.500  0.500  0.293
O  0.500  0.500  0.707

* crystal system: tetragonal
* uncorrected energy: -18.76 eV per cell